(1)
# HgWAu2 PBE relaxed
data_HgWAu2
_chemical_formula_sum 'Hg1 W1 Au2'
_cell_length_a 9.9612
_cell_length_b 9.9612
_cell_length_c 9.9612
_cell_angle_alpha 16.95
_cell_angle_beta 16.95
_cell_angle_gamma 16.95
_symmetry_space_group_name_H-M 'P 1'
_symmetry_Int_Tables_number 1
loop_
_symmetry_equiv_pos_as_xyz
'x,y,z'
loop_
_atom_site_label
_atom_site_type_symbol
_atom_site_fract_x
_atom_site_fract_y
_atom_site_fract_z
Hg1 Hg 0.0000 0.0000 0.0000
W1 W 0.5000 0.5000 0.5000
Au1 Au 0.2445 0.2445 0.2445
Au2 Au 0.7555 0.7555 0.7555
# Energy of formation, eV per atom: 0.3228
# DOS(E_F), states/eV per atom: 0.67
# Magnetization, μB per formula unit: 0.0

(2)
# Ac3CuSe5 PBE relaxed
data_Ac3CuSe5
_chemical_formula_sum 'Ac6 Cu2 Se10'
_cell_length_a 9.1815
_cell_length_b 9.1815
_cell_length_c 9.1815
_cell_angle_alpha 125.87
_cell_angle_beta 125.87
_cell_angle_gamma 80.09
_symmetry_space_group_name_H-M 'P 1'
_symmetry_Int_Tables_number 1
loop_
_symmetry_equiv_pos_as_xyz
'x,y,z'
loop_
_atom_site_label
_atom_site_type_symbol
_atom_site_fract_x
_atom_site_fract_y
_atom_site_fract_z
Ac1 Ac 0.1548 0.6548 0.8096
Ac2 Ac 0.2500 0.2500 0.0000
Ac3 Ac 0.3452 0.1548 0.5000
Ac4 Ac 0.6548 0.8452 0.5000
Ac5 Ac 0.7500 0.7500 0.0000
Ac6 Ac 0.8452 0.3452 0.1904
Cu1 Cu 0.2500 0.7500 0.5000
Cu2 Cu 0.7500 0.2500 0.5000
Se1 Se 0.0000 0.0000 0.0000
Se2 Se 0.0152 0.1928 0.5000
Se3 Se 0.1928 0.6928 0.1776
Se4 Se 0.3072 0.4848 0.5000
Se5 Se 0.4848 0.9848 0.1776
Se6 Se 0.5000 0.5000 0.0000
Se7 Se 0.5152 0.0152 0.8224
Se8 Se 0.6928 0.5152 0.5000
Se9 Se 0.8072 0.3072 0.8224
Se10 Se 0.9848 0.8072 0.5000
# Formation energy without anion corrections, eV per formula unit: -15.06
# Magnetization, μB per formula unit: 0.0

(3)
# V2AgIrN PBE relaxed
data_V2AgIrN
_chemical_formula_sum 'V2 Ag1 Ir1 N1'
_cell_length_a 4.8757
_cell_length_b 4.8757
_cell_length_c 3.6672
_cell_angle_alpha 90.00
_cell_angle_beta 90.00
_cell_angle_gamma 90.00
_symmetry_space_group_name_H-M 'P 1'
_symmetry_Int_Tables_number 1
loop_
_symmetry_equiv_pos_as_xyz
'x,y,z'
loop_
_atom_site_label
_atom_site_type_symbol
_atom_site_fract_x
_atom_site_fract_y
_atom_site_fract_z
V1 V 0.0000 0.5000 0.0000
V2 V 0.5000 0.0000 0.0000
Ag1 Ag 0.0000 0.0000 0.5000
Ir1 Ir 0.5000 0.5000 0.0000
N1 N 0.5000 0.5000 0.5000
# DOS(E_F), states/eV per atom: 1.68
# Formation energy without anion corrections, eV per formula unit: 5.60
# Magnetization, μB per formula unit: 0.0

| no. | total DFT energy (no corrections) (eV per atom) | theoretical density (g/cm3) |
| --- | --- | --- |
| 1 | -4.630 | 17.63 |
| 2 | -5.434 | 7.71 |
| 3 | -6.534 | 7.92 |